a) Re4C: relaxed, GGA-PBE.

Cell lengths 4.554, 4.554, 4.554 Å; angles 109.47, 109.47, 109.47 degrees
Fractional positions:
1 Re 0.500 0.500 0.500
2 Re 0.000 0.000 0.500
3 Re 0.000 0.500 0.000
4 Re 0.500 0.000 0.000
5 C 0.000 0.000 0.000

Space group: No. 229
Total moment, μB/f.u.: 0.00

***

b) Re4C: relaxed, GGA-PBE.

Cell lengths 4.071, 4.071, 4.071 Å; angles 90.00, 90.00, 90.00 degrees
Fractional positions:
1 Re 0.000 0.000 0.000
2 Re 0.500 0.000 0.500
3 Re 0.000 0.500 0.500
4 Re 0.500 0.500 0.000
5 C 0.500 0.500 0.500

Space group: No. 221
Total moment, μB/f.u.: 0.00

***

c) Re4C: relaxed, GGA-PBE.

Cell lengths 6.506, 6.506, 6.506 Å; angles 146.16, 146.16, 48.61 degrees
Fractional positions:
1 Re 0.750 0.250 0.500
2 Re 0.250 0.750 0.500
3 Re 0.606 0.606 0.000
4 Re 0.394 0.394 0.000
5 C 0.000 0.000 0.000

Space group: No. 139
Total moment, μB/f.u.: 0.00

***

Short version: c) is the least stable of them.

***

a) Re3RhC: relaxed, GGA-PBE.

Cell lengths 4.065, 4.065, 4.065 Å; angles 90.00, 90.00, 90.00 degrees
Fractional positions:
1 Re 0.000 0.500 0.000
2 Re 0.000 0.000 0.500
3 Re 0.500 0.000 0.000
4 C 0.000 0.000 0.000
5 Rh 0.500 0.500 0.500

Space group: No. 221
Total moment, μB/f.u.: 0.00

***

b) Re3RhC: relaxed, GGA-PBE.

Cell lengths 4.652, 4.652, 4.652 Å; angles 90.00, 90.00, 90.00 degrees
Fractional positions:
1 Re 0.000 0.500 0.000
2 Re 0.000 0.000 0.500
3 Re 0.500 0.000 0.000
4 C 0.500 0.500 0.500
5 Rh 0.000 0.000 0.000

Space group: No. 221
Total moment, μB/f.u.: 0.00

***

Short version: b) is the least stable of them.

***

a) ReRuC2: relaxed, GGA-PBE.

Cell lengths 2.760, 2.760, 10.816 Å; angles 90.00, 90.00, 90.00 degrees
Fractional positions:
1 Re 0.000 0.000 0.055
2 Re 0.500 0.500 0.555
3 C 0.000 0.000 0.336
4 C 0.500 0.500 0.836
5 C 0.000 0.000 0.469
6 C 0.500 0.500 0.969
7 Ru 0.000 0.000 0.754
8 Ru 0.500 0.500 0.254

Space group: No. 107
Total moment, μB/f.u.: 0.00

***

b) ReRuC2: relaxed, GGA-PBE.

Cell lengths 5.020, 3.006, 6.147 Å; angles 90.00, 90.07, 90.00 degrees
Fractional positions:
1 Re 0.661 0.000 0.048
2 Re 0.661 0.500 0.548
3 C 0.024 0.000 0.187
4 C 0.024 0.500 0.687
5 C 0.526 0.000 0.354
6 C 0.526 0.500 0.854
7 Ru 0.155 0.000 0.495
8 Ru 0.155 0.500 0.995

Space group: No. 8
Total moment, μB/f.u.: 0.00

***

Short version: b) is the least stable of them.

***

a) ReRu3C: relaxed, GGA-PBE.

Cell lengths 4.023, 4.023, 4.023 Å; angles 90.00, 90.00, 90.00 degrees
Fractional positions:
1 Re 0.500 0.500 0.500
2 C 0.000 0.000 0.000
3 Ru 0.000 0.500 0.000
4 Ru 0.000 0.000 0.500
5 Ru 0.500 0.000 0.000

Space group: No. 221
Total moment, μB/f.u.: 1.40

***

b) ReRu3C: relaxed, GGA-PBE.

Cell lengths 4.670, 4.670, 4.670 Å; angles 90.00, 90.00, 90.00 degrees
Fractional positions:
1 Re 0.000 0.000 0.000
2 C 0.500 0.500 0.500
3 Ru 0.000 0.500 0.000
4 Ru 0.000 0.000 0.500
5 Ru 0.500 0.000 0.000

Space group: No. 221
Total moment, μB/f.u.: 1.54

***

Short version: b) is the least stable of them.

***

a) ReCS: relaxed, GGA-PBE.

Cell lengths 5.285, 3.002, 15.747 Å; angles 90.00, 92.26, 90.00 degrees
Fractional positions:
1 Re 0.204 0.000 0.060
2 Re 0.796 0.000 0.940
3 Re 0.204 0.500 0.560
4 Re 0.796 0.500 0.440
5 S 0.737 0.000 0.326
6 S 0.263 0.000 0.674
7 S 0.737 0.500 0.826
8 S 0.263 0.500 0.174
9 C 0.500 0.500 0.500
10 C 0.500 0.000 0.000
11 C 0.000 0.500 0.000
12 C 0.000 0.000 0.500

Space group: No. 12
Total moment, μB/f.u.: 0.00

***

b) ReCS: relaxed, GGA-PBE.

Cell lengths 5.157, 3.082, 11.510 Å; angles 90.00, 101.65, 90.00 degrees
Fractional positions:
1 Re 0.152 0.000 0.413
2 Re 0.848 0.000 0.587
3 Re 0.152 0.500 0.913
4 Re 0.848 0.500 0.087
5 S 0.731 0.000 0.232
6 S 0.269 0.000 0.768
7 S 0.731 0.500 0.732
8 S 0.269 0.500 0.268
9 C 0.500 0.000 0.500
10 C 0.500 0.500 0.000
11 C 0.000 0.000 0.000
12 C 0.000 0.500 0.500

Space group: No. 12
Total moment, μB/f.u.: 0.00

***

Short version: a) is the least stable of them.

***

a) ReCS: relaxed, GGA-PBE.

Cell lengths 2.926, 4.192, 8.048 Å; angles 101.81, 92.29, 90.01 degrees
Fractional positions:
1 Re 0.262 0.761 0.603
2 Re 0.738 0.239 0.397
3 S 0.219 0.853 0.217
4 S 0.781 0.147 0.783
5 C 0.767 0.441 0.656
6 C 0.233 0.559 0.344

Space group: No. 2
Total moment, μB/f.u.: 0.00

***

b) ReCS: relaxed, GGA-PBE.

Cell lengths 5.569, 3.005, 10.619 Å; angles 90.00, 109.02, 90.00 degrees
Fractional positions:
1 Re 0.288 0.000 0.961
2 Re 0.288 0.500 0.461
3 Re 0.727 0.000 0.203
4 Re 0.727 0.500 0.703
5 S 0.401 0.000 0.306
6 S 0.401 0.500 0.806
7 S 0.076 0.000 0.121
8 S 0.076 0.500 0.621
9 C 0.506 0.000 0.570
10 C 0.506 0.500 0.070
11 C 0.938 0.000 0.823
12 C 0.938 0.500 0.323

Space group: No. 8
Total moment, μB/f.u.: 0.00

***

c) ReCS: relaxed, GGA-PBE.

Cell lengths 5.659, 2.904, 12.434 Å; angles 90.00, 114.88, 90.00 degrees
Fractional positions:
1 Re 0.306 0.000 0.784
2 Re 0.306 0.500 0.284
3 Re 0.540 0.000 0.126
4 Re 0.540 0.500 0.626
5 S 0.872 0.000 0.630
6 S 0.872 0.500 0.130
7 S 0.657 0.000 0.329
8 S 0.657 0.500 0.829
9 C 0.319 0.000 0.510
10 C 0.319 0.500 0.010
11 C 0.255 0.000 0.392
12 C 0.255 0.500 0.892

Space group: No. 8
Total moment, μB/f.u.: 0.00

***

Short version: b) is the least stable of them.